# 1
{"formula": "Li2TaAu", "functional": "PBE-GGA", "state": "optimized geometry", "lattice": [[2.758, 0.000, 0.000], [0.000, 2.758, 0.000], [0.000, 0.000, 8.648]], "species": ["Li", "Li", "Au", "Ta"], "fractional_positions": [[0.000, 0.000, 0.527], [0.000, 0.000, 0.973], [0.500, 0.500, 0.750], [0.500, 0.500, 0.250]], "formation_enthalpy_0k_ev_per_atom": 0.05, "space_group": "P4/mmm", "m_tot_mub_per_cell": 0.00, "relative_energy_mev_per_atom": 40.4}

=====

# 2
{"formula": "HfVGe", "functional": "PBE-GGA", "state": "optimized geometry", "lattice": [[3.699, 0.000, 0.000], [0.000, 3.699, 0.000], [0.000, 0.000, 7.284]], "species": ["V", "V", "Ge", "Ge", "Hf", "Hf"], "fractional_positions": [[0.000, 0.000, 0.000], [0.500, 0.500, 0.000], [0.500, 0.000, 0.250], [0.000, 0.500, 0.750], [0.000, 0.500, 0.362], [0.500, 0.000, 0.638]], "formation_enthalpy_0k_ev_per_atom": -0.62, "space_group": "P4/nmm", "m_tot_mub_per_cell": 0.00}